No. 1
Material: Rb4OsRh2
Method: DFT, GGA-PBE
State: optimized geometry

Values from the calculation:
calculated formation energy: 1.45 eV/atom

Lattice parameters (Å, degrees): 6.678 6.678 9.246 68.83 68.83 90.00
Each line ends with the local moment (μB).
Fractional positions:
1 Rh 0.573 0.573 0.854  1.29
2 Rh 0.427 0.427 0.146  1.29
3 Os 0.000 0.000 0.000  2.25
4 Rb 0.795 0.795 0.411  0.02
5 Rb 0.205 0.205 0.589  0.02
6 Rb 0.000 0.500 0.000  0.01
7 Rb 0.500 0.000 0.000  0.01

=====

No. 2
Material: Rb3OsRh3S8
Method: DFT, GGA-PBE
State: optimized geometry

Values from the calculation:
energy relative to the elements, uncorrected: -58 kJ per mole of atoms

Lattice parameters (Å, degrees): 7.341 7.345 8.421 115.86 90.01 120.01
Each line ends with the local moment (μB).
Fractional positions:
1 Rb 0.000 0.000 0.000  0.00
2 Rb 0.000 0.500 0.000  0.00
3 Rb 0.500 0.500 0.000  0.00
4 Os 0.000 0.000 0.500  0.71
5 Rh 0.500 0.000 0.500  0.03
6 Rh 0.500 0.500 0.500  0.03
7 Rh 0.000 0.500 0.500  0.03
8 S 0.281 0.561 0.342  0.01
9 S 0.719 0.439 0.658  0.01
10 S 0.781 0.561 0.341  0.03
11 S 0.219 0.439 0.659  0.03
12 S 0.781 0.060 0.341  0.03
13 S 0.219 0.940 0.659  0.03
14 S 0.280 0.060 0.341  0.03
15 S 0.720 0.940 0.659  0.03

=====

No. 3
Material: Rb2OsRhS
Method: DFT, GGA-PBE
State: optimized geometry

Values from the calculation:
energy relative to the elements, uncorrected: 104 kJ per mole of atoms

Lattice parameters (Å, degrees): 6.550 4.564 6.550 90.00 90.00 90.00
Each line ends with the local moment (μB).
Fractional positions:
1 Rh 0.000 0.500 0.000  0.25
2 S 0.500 0.500 0.500  0.34
3 Os 0.000 0.000 0.000  0.95
4 Rb 0.000 0.000 0.500  0.00
5 Rb 0.500 0.000 0.000  0.01

=====

No. 4
Material: Rb4OsRh3S8
Method: DFT, GGA-PBE
State: optimized geometry

Values from the calculation:
energy relative to the elements, uncorrected: -61 kJ per mole of atoms

Lattice parameters (Å, degrees): 7.514 8.258 7.515 117.08 119.99 90.00
Each line ends with the local moment (μB).
Fractional positions:
1 Rb 0.500 0.000 0.000  0.00
2 Rb 0.500 0.000 0.500  0.00
3 Rb 0.000 0.000 0.000  0.00
4 Rb 0.000 0.000 0.500  0.00
5 Os 0.000 0.500 0.000  0.60
6 Rh 0.500 0.500 0.000  0.02
7 Rh 0.500 0.500 0.500  0.02
8 Rh 0.000 0.500 0.500  0.02
9 S 0.218 0.658 0.940  0.02
10 S 0.218 0.658 0.437  0.02
11 S 0.281 0.342 0.561  0.01
12 S 0.721 0.658 0.940  0.02
13 S 0.279 0.342 0.060  0.02
14 S 0.719 0.658 0.439  0.01
15 S 0.782 0.342 0.563  0.02
16 S 0.782 0.342 0.060  0.02

=====

No. 5
Material: Rb4OsRh3Se8
Method: DFT, GGA-PBE
State: optimized geometry

Values from the calculation:
energy relative to the elements, uncorrected: -57 kJ per mole of atoms

Lattice parameters (Å, degrees): 7.875 8.643 7.878 117.17 119.99 90.00
Each line ends with the local moment (μB).
Fractional positions:
1 Rb 0.500 0.000 0.000  0.00
2 Rb 0.500 0.000 0.500  0.00
3 Rb 0.000 0.000 0.000  0.00
4 Rb 0.000 0.000 0.500  0.00
5 Os 0.000 0.500 0.000  0.62
6 Rh 0.500 0.500 0.000  0.01
7 Rh 0.500 0.500 0.500  0.01
8 Rh 0.000 0.500 0.500  0.01
9 Se 0.220 0.660 0.941  0.02
10 Se 0.220 0.660 0.439  0.02
11 Se 0.280 0.340 0.560  0.01
12 Se 0.722 0.660 0.941  0.02
13 Se 0.278 0.340 0.059  0.02
14 Se 0.720 0.660 0.440  0.01
15 Se 0.780 0.340 0.561  0.02
16 Se 0.780 0.340 0.059  0.02

=====

No. 6
Material: Rb3OsRh3Se8
Method: DFT, GGA-PBE
State: optimized geometry

Values from the calculation:
energy relative to the elements, uncorrected: -53 kJ per mole of atoms

Lattice parameters (Å, degrees): 7.695 7.694 8.814 115.89 90.00 120.00
Each line ends with the local moment (μB).
Fractional positions:
1 Rb 0.000 0.000 0.000  0.00
2 Rb 0.000 0.500 0.000  0.00
3 Rb 0.500 0.500 0.000  0.00
4 Os 0.000 0.000 0.500  0.96
5 Rh 0.500 0.000 0.500  0.03
6 Rh 0.500 0.500 0.500  0.03
7 Rh 0.000 0.500 0.500  0.03
8 Se 0.280 0.560 0.340  0.01
9 Se 0.720 0.440 0.660  0.01
10 Se 0.779 0.558 0.338  0.04
11 Se 0.221 0.442 0.662  0.04
12 Se 0.779 0.059 0.338  0.04
13 Se 0.221 0.941 0.662  0.04
14 Se 0.280 0.059 0.338  0.04
15 Se 0.720 0.941 0.662  0.04

=====

No. 7
Material: RbTaOsRh2
Method: DFT, GGA-PBE
State: optimized geometry

Values from the calculation:
calculated formation energy: 1.18 eV/atom

Lattice parameters (Å, degrees): 4.922 4.907 4.922 90.00 90.00 90.00
Each line ends with the local moment (μB).
Fractional positions:
1 Rh 0.000 0.000 0.500  0.17
2 Rh 0.500 0.000 0.000  0.14
3 Os 0.000 0.500 0.000  1.23
4 Rb 0.500 0.500 0.500  0.01
5 Ta 0.000 0.000 0.000  -0.11

=====

No. 8
Material: RbTe2OsRh
Method: DFT, GGA-PBE
State: optimized geometry

Values from the calculation:
energy relative to the elements, uncorrected: 127 kJ per mole of atoms

Lattice parameters (Å, degrees): 5.171 5.736 5.171 90.00 90.00 90.00
Each line ends with the local moment (μB).
Fractional positions:
1 Rh 0.000 0.000 0.000  -0.29
2 Te 0.000 0.000 0.500  -0.01
3 Te 0.500 0.000 0.000  -0.17
4 Os 0.500 0.500 0.500  2.86
5 Rb 0.000 0.500 0.000  0.00

=====

no.,theoretical density (g cm⁻³),electronic total energy (eV/atom)
1,3.5,-2.80
2,4.9,-5.22
3,4.2,-3.85
4,5.3,-5.02
5,6.2,-4.65
6,5.9,-4.82
7,9.3,-6.57
8,6.9,-3.85